Entry 1:
An optimized crystal structure of SmLuTe3Pb. Source: OQMD via LeMat-Bulk, functional PBE.

Results
raw total energy	-110.55	eV per cell
crystal system	orthorhombic

Geometry as CIF:
```
data_SmLuTe3Pb
_cell_length_a 4.442
_cell_length_b 15.292
_cell_length_c 11.970
_cell_angle_alpha 90.00
_cell_angle_beta 90.00
_cell_angle_gamma 90.00
_space_group_name_H-M_alt 'C m c m'
_space_group_IT_number 63
_space_group_name_Hall '-C 2c 2'
loop_
_atom_site_label
_atom_site_type_symbol
_atom_site_fract_x
_atom_site_fract_y
_atom_site_fract_z
_atom_site_occupancy
Sm1 Sm 0.000 0.000 0.000 1
Lu1 Lu 0.000 0.467 0.250 1
Te1 Te 0.000 0.093 0.250 1
Te2 Te 0.000 0.356 0.047 1
Pb1 Pb 0.000 0.203 0.750 1
```

***

Entry 2:
An optimized crystal structure of LuSn2Pb. Source: OQMD via LeMat-Bulk, functional PBE.

Results
raw total energy	-66.25	eV per cell
crystal system	cubic

Geometry as CIF:
```
data_LuSn2Pb
_cell_length_a 7.646
_cell_length_b 7.646
_cell_length_c 7.646
_cell_angle_alpha 90.00
_cell_angle_beta 90.00
_cell_angle_gamma 90.00
_space_group_name_H-M_alt 'F -4 3 m'
_space_group_IT_number 216
_space_group_name_Hall 'F -4 2 3'
loop_
_atom_site_label
_atom_site_type_symbol
_atom_site_fract_x
_atom_site_fract_y
_atom_site_fract_z
_atom_site_occupancy
Lu1 Lu 0.000 0.000 0.000 1
Sn1 Sn 0.000 0.000 0.500 1
Sn2 Sn 0.250 0.250 0.250 1
Pb1 Pb 0.250 0.250 0.750 1
```

***

Entry 3:
An optimized crystal structure of LuSnPb2. Source: OQMD via LeMat-Bulk, functional PBE.

Results
raw total energy	-65.22	eV per cell
crystal system	cubic

Geometry as CIF:
```
data_LuSnPb2
_cell_length_a 7.726
_cell_length_b 7.726
_cell_length_c 7.726
_cell_angle_alpha 90.00
_cell_angle_beta 90.00
_cell_angle_gamma 90.00
_space_group_name_H-M_alt 'F -4 3 m'
_space_group_IT_number 216
_space_group_name_Hall 'F -4 2 3'
loop_
_atom_site_label
_atom_site_type_symbol
_atom_site_fract_x
_atom_site_fract_y
_atom_site_fract_z
_atom_site_occupancy
Lu1 Lu 0.000 0.000 0.000 1
Sn1 Sn 0.250 0.250 0.250 1
Pb1 Pb 0.000 0.000 0.500 1
Pb2 Pb 0.250 0.250 0.750 1
```

***

Entry 4:
An optimized crystal structure of LuSnPb. Source: OQMD via LeMat-Bulk, functional PBE.

Results
raw total energy	-49.16	eV per cell
crystal system	cubic

Geometry as CIF:
```
data_LuSnPb
_cell_length_a 7.315
_cell_length_b 7.315
_cell_length_c 7.315
_cell_angle_alpha 90.00
_cell_angle_beta 90.00
_cell_angle_gamma 90.00
_space_group_name_H-M_alt 'F -4 3 m'
_space_group_IT_number 216
_space_group_name_Hall 'F -4 2 3'
loop_
_atom_site_label
_atom_site_type_symbol
_atom_site_fract_x
_atom_site_fract_y
_atom_site_fract_z
_atom_site_occupancy
Lu1 Lu 0.000 0.000 0.000 1
Sn1 Sn 0.250 0.250 0.250 1
Pb1 Pb 0.000 0.000 0.500 1
```

***

Entry 5:
An optimized crystal structure of LuSnTe3Pb. Source: OQMD via LeMat-Bulk, functional PBE.

Results
raw total energy	-100.85	eV per cell
crystal system	orthorhombic

Geometry as CIF:
```
data_LuSnTe3Pb
_cell_length_a 4.161
_cell_length_b 15.412
_cell_length_c 12.508
_cell_angle_alpha 90.00
_cell_angle_beta 90.00
_cell_angle_gamma 90.00
_space_group_name_H-M_alt 'C m c m'
_space_group_IT_number 63
_space_group_name_Hall '-C 2c 2'
loop_
_atom_site_label
_atom_site_type_symbol
_atom_site_fract_x
_atom_site_fract_y
_atom_site_fract_z
_atom_site_occupancy
Lu1 Lu 0.000 0.000 0.000 1
Sn1 Sn 0.000 0.353 0.250 1
Te1 Te 0.000 0.004 0.250 1
Te2 Te 0.000 0.361 0.002 1
Pb1 Pb 0.000 0.326 0.750 1
```

***

Entry 6:
An optimized crystal structure of LuSnTe3Pb. Source: OQMD via LeMat-Bulk, functional PBE.

Results
raw total energy	-100.87	eV per cell
crystal system	monoclinic

Geometry as CIF:
```
data_LuSnTe3Pb
_cell_length_a 18.605
_cell_length_b 4.314
_cell_length_c 10.708
_cell_angle_alpha 90.00
_cell_angle_beta 106.65
_cell_angle_gamma 90.00
_space_group_name_H-M_alt 'C 1 2/m 1'
_space_group_IT_number 12
loop_
_space_group_symop_operation_xyz
'x,y,z'
'-x,-y,-z'
'-x,y,-z'
'x,-y,z'
'x+1/2,y+1/2,z'
'-x+1/2,-y+1/2,-z'
'-x+1/2,y+1/2,-z'
'x+1/2,-y+1/2,z'
loop_
_atom_site_label
_atom_site_type_symbol
_atom_site_fract_x
_atom_site_fract_y
_atom_site_fract_z
_atom_site_occupancy
Lu1 Lu 0.176 0.000 0.084 1
Sn1 Sn 0.019 0.500 0.221 1
Te1 Te 0.000 0.000 0.000 1
Te2 Te 0.000 0.500 0.500 1
Te3 Te 0.159 0.500 0.883 1
Te4 Te 0.200 0.500 0.302 1
Pb1 Pb 0.122 0.000 0.463 1
```

***

Entry 7:
An optimized crystal structure of SrLuPb2. Source: OQMD via LeMat-Bulk, functional PBE.

Results
raw total energy	-54.21	eV per cell
crystal system	cubic

Geometry as CIF:
```
data_SrLuPb2
_cell_length_a 7.999
_cell_length_b 7.999
_cell_length_c 7.999
_cell_angle_alpha 90.00
_cell_angle_beta 90.00
_cell_angle_gamma 90.00
_space_group_name_H-M_alt 'F -4 3 m'
_space_group_IT_number 216
_space_group_name_Hall 'F -4 2 3'
loop_
_atom_site_label
_atom_site_type_symbol
_atom_site_fract_x
_atom_site_fract_y
_atom_site_fract_z
_atom_site_occupancy
Sr1 Sr 0.000 0.000 0.000 1
Lu1 Lu 0.250 0.250 0.750 1
Pb1 Pb 0.000 0.000 0.500 1
Pb2 Pb 0.250 0.250 0.250 1
```

***

Entry 8:
An optimized crystal structure of SrLuPb. Source: OQMD via LeMat-Bulk, functional PBE.

Results
raw total energy	-35.05	eV per cell
crystal system	cubic

Geometry as CIF:
```
data_SrLuPb
_cell_length_a 7.684
_cell_length_b 7.684
_cell_length_c 7.684
_cell_angle_alpha 90.00
_cell_angle_beta 90.00
_cell_angle_gamma 90.00
_space_group_name_H-M_alt 'F -4 3 m'
_space_group_IT_number 216
_space_group_name_Hall 'F -4 2 3'
loop_
_atom_site_label
_atom_site_type_symbol
_atom_site_fract_x
_atom_site_fract_y
_atom_site_fract_z
_atom_site_occupancy
Sr1 Sr 0.000 0.000 0.000 1
Lu1 Lu 0.250 0.250 0.750 1
Pb1 Pb 0.250 0.250 0.250 1
```